Entry 1:
Ti2MnSe2Cl4: relaxed, PBE.

Properties
Symmetry: P3m1 (156)
Raw formation energy in meV per atom: -1120
D(E_F) in states/eV per cell: 3.3

a = 3.2681 Å, b = 3.2681 Å, c = 21.4150 Å
α = 90.00°, β = 90.00°, γ = 120.00°
Closest atoms and distances in Å follow each position.
Fractional positions:
Ti 0.0000 0.0000 0.0000  6 Cl 2.46-2.47
Ti 0.3333 0.6667 0.3280  6 Cl 2.46-2.47
Mn 0.3333 0.6667 0.6712  6 Se 2.42
Se 0.0000 0.0000 0.6004  3 Mn 2.42
Se 0.0000 0.0000 0.7421  3 Mn 2.42
Cl 0.0000 0.0000 0.2538  3 Ti 2.47
Cl 0.0000 0.0000 0.4020  3 Ti 2.46
Cl 0.3333 0.6667 0.0742  3 Ti 2.47
Cl 0.3333 0.6667 0.9260  3 Ti 2.46

=====

Entry 2:
Na4HoPu3Se8: relaxed, PBE.

Properties
Symmetry: R-3m (166)
Raw formation energy in meV per atom: -1477
D(E_F) in states/eV per cell: 32.5

a = 8.4665 Å, b = 8.4665 Å, c = 8.4665 Å
α = 59.40°, β = 59.40°, γ = 59.40°
Closest atoms and distances in Å follow each position.
Fractional positions:
Na 0.0000 0.0000 0.0000  6 Se 3.08
Na 0.0000 0.5000 0.5000  6 Se 3.05-3.07
Na 0.5000 0.0000 0.5000  6 Se 3.05-3.07
Na 0.5000 0.5000 0.0000  6 Se 3.05-3.07
Ho 0.5000 0.5000 0.5000  6 Se 2.88
Pu 0.0000 0.0000 0.5000  6 Se 2.90-2.91
Pu 0.0000 0.5000 0.0000  6 Se 2.90-2.91
Pu 0.5000 0.0000 0.0000  6 Se 2.90-2.91
Se 0.2430 0.2430 0.2430  3 Pu 2.90, 3 Na 3.07
Se 0.2473 0.7415 0.7415  1 Ho 2.88, 2 Pu 2.91, 3 Na 3.05-3.08
Se 0.2585 0.2585 0.7527  1 Ho 2.88, 2 Pu 2.91, 3 Na 3.05-3.08
Se 0.2585 0.7527 0.2585  1 Ho 2.88, 2 Pu 2.91, 3 Na 3.05-3.08
Se 0.7415 0.2473 0.7415  1 Ho 2.88, 2 Pu 2.91, 3 Na 3.05-3.08
Se 0.7415 0.7415 0.2473  1 Ho 2.88, 2 Pu 2.91, 3 Na 3.05-3.08
Se 0.7527 0.2585 0.2585  1 Ho 2.88, 2 Pu 2.91, 3 Na 3.05-3.08
Se 0.7570 0.7570 0.7570  3 Pu 2.90, 3 Na 3.07

=====

Question: Which of these has the highest raw formation energy?
Answer: Ti2MnSe2Cl4

=====

Copy entry 1 word for word.
Ti2MnSe2Cl4: relaxed, PBE.

Properties
Symmetry: P3m1 (156)
Raw formation energy in meV per atom: -1120
D(E_F) in states/eV per cell: 3.3

a = 3.2681 Å, b = 3.2681 Å, c = 21.4150 Å
α = 90.00°, β = 90.00°, γ = 120.00°
Closest atoms and distances in Å follow each position.
Fractional positions:
Ti 0.0000 0.0000 0.0000  6 Cl 2.46-2.47
Ti 0.3333 0.6667 0.3280  6 Cl 2.46-2.47
Mn 0.3333 0.6667 0.6712  6 Se 2.42
Se 0.0000 0.0000 0.6004  3 Mn 2.42
Se 0.0000 0.0000 0.7421  3 Mn 2.42
Cl 0.0000 0.0000 0.2538  3 Ti 2.47
Cl 0.0000 0.0000 0.4020  3 Ti 2.46
Cl 0.3333 0.6667 0.0742  3 Ti 2.47
Cl 0.3333 0.6667 0.9260  3 Ti 2.46

=====

Repeat the second record exactly.
Na4HoPu3Se8: relaxed, PBE.

Properties
Symmetry: R-3m (166)
Raw formation energy in meV per atom: -1477
D(E_F) in states/eV per cell: 32.5

a = 8.4665 Å, b = 8.4665 Å, c = 8.4665 Å
α = 59.40°, β = 59.40°, γ = 59.40°
Closest atoms and distances in Å follow each position.
Fractional positions:
Na 0.0000 0.0000 0.0000  6 Se 3.08
Na 0.0000 0.5000 0.5000  6 Se 3.05-3.07
Na 0.5000 0.0000 0.5000  6 Se 3.05-3.07
Na 0.5000 0.5000 0.0000  6 Se 3.05-3.07
Ho 0.5000 0.5000 0.5000  6 Se 2.88
Pu 0.0000 0.0000 0.5000  6 Se 2.90-2.91
Pu 0.0000 0.5000 0.0000  6 Se 2.90-2.91
Pu 0.5000 0.0000 0.0000  6 Se 2.90-2.91
Se 0.2430 0.2430 0.2430  3 Pu 2.90, 3 Na 3.07
Se 0.2473 0.7415 0.7415  1 Ho 2.88, 2 Pu 2.91, 3 Na 3.05-3.08
Se 0.2585 0.2585 0.7527  1 Ho 2.88, 2 Pu 2.91, 3 Na 3.05-3.08
Se 0.2585 0.7527 0.2585  1 Ho 2.88, 2 Pu 2.91, 3 Na 3.05-3.08
Se 0.7415 0.2473 0.7415  1 Ho 2.88, 2 Pu 2.91, 3 Na 3.05-3.08
Se 0.7415 0.7415 0.2473  1 Ho 2.88, 2 Pu 2.91, 3 Na 3.05-3.08
Se 0.7527 0.2585 0.2585  1 Ho 2.88, 2 Pu 2.91, 3 Na 3.05-3.08
Se 0.7570 0.7570 0.7570  3 Pu 2.90, 3 Na 3.07